--- w ---
First-principles (PBE) data for a relaxed structure of BaLiRh2, as listed in the Alexandria database.

Structure (CIF):
```
data_BaLiRh2
_chemical_formula_sum 'Ba1 Li1 Rh2'
_cell_length_a 4.808
_cell_length_b 4.808
_cell_length_c 4.808
_cell_angle_alpha 60.00
_cell_angle_beta 60.00
_cell_angle_gamma 60.00
_symmetry_space_group_name_H-M 'P 1'
_symmetry_Int_Tables_number 1
loop_
_symmetry_equiv_pos_as_xyz
'x,y,z'
loop_
_atom_site_label
_atom_site_fract_x
_atom_site_fract_y
_atom_site_fract_z
Rh1 0.250 0.250 0.250
Rh2 0.750 0.750 0.750
Li1 0.000 0.000 0.000
Ba1 0.500 0.500 0.500
```

Calculated values
The symmetry is Fm-3m, No. 225.

--- x ---
First-principles (PBE) data for a relaxed structure of BaLiRh2, as listed in the Alexandria database.

Structure (CIF):
```
data_BaLiRh2
_chemical_formula_sum 'Ba2 Li2 Rh4'
_cell_length_a 4.835
_cell_length_b 4.835
_cell_length_c 9.290
_cell_angle_alpha 74.92
_cell_angle_beta 74.92
_cell_angle_gamma 90.00
_symmetry_space_group_name_H-M 'P 1'
_symmetry_Int_Tables_number 1
loop_
_symmetry_equiv_pos_as_xyz
'x,y,z'
loop_
_atom_site_label
_atom_site_fract_x
_atom_site_fract_y
_atom_site_fract_z
Rh1 0.353 0.125 0.250
Rh2 0.875 0.603 0.750
Rh3 0.375 0.647 0.750
Rh4 0.397 0.625 0.250
Ba1 0.000 0.000 0.000
Ba2 0.750 0.250 0.500
Li1 0.250 0.750 0.500
Li2 0.500 0.500 0.000
```

Calculated values
The symmetry is I-42d, No. 122.

Least stable structure: w

--- w ---
First-principles (PBE) data for a relaxed structure of BaLiRh2, as listed in the Alexandria database.

Structure (CIF):
```
data_BaLiRh2
_chemical_formula_sum 'Ba1 Li1 Rh2'
_cell_length_a 3.038
_cell_length_b 4.070
_cell_length_c 6.511
_cell_angle_alpha 90.00
_cell_angle_beta 90.00
_cell_angle_gamma 90.00
_symmetry_space_group_name_H-M 'P 1'
_symmetry_Int_Tables_number 1
loop_
_symmetry_equiv_pos_as_xyz
'x,y,z'
loop_
_atom_site_label
_atom_site_fract_x
_atom_site_fract_y
_atom_site_fract_z
Ba1 0.500 0.500 0.250
Rh1 0.000 0.000 0.559
Rh2 0.000 0.000 0.941
Li1 0.500 0.500 0.750
```

Calculated values
The symmetry is Pmmm, No. 47.

--- x ---
First-principles (PBE) data for a relaxed structure of BaLiRh2, as listed in the Alexandria database.

Structure (CIF):
```
data_BaLiRh2
_chemical_formula_sum 'Ba1 Li1 Rh2'
_cell_length_a 4.394
_cell_length_b 3.156
_cell_length_c 5.918
_cell_angle_alpha 77.95
_cell_angle_beta 90.00
_cell_angle_gamma 90.00
_symmetry_space_group_name_H-M 'P 1'
_symmetry_Int_Tables_number 1
loop_
_symmetry_equiv_pos_as_xyz
'x,y,z'
loop_
_atom_site_label
_atom_site_fract_x
_atom_site_fract_y
_atom_site_fract_z
Rh1 0.000 0.932 0.932
Rh2 0.000 0.568 0.568
Ba1 0.500 0.250 0.250
Li1 0.500 0.750 0.750
```

Calculated values
The symmetry is P2/m, No. 10.

--- y ---
First-principles (PBE) data for a relaxed structure of BaLiRh2, as listed in the Alexandria database.

Structure (CIF):
```
data_BaLiRh2
_chemical_formula_sum 'Ba1 Li1 Rh2'
_cell_length_a 5.329
_cell_length_b 5.329
_cell_length_c 3.154
_cell_angle_alpha 90.00
_cell_angle_beta 90.00
_cell_angle_gamma 114.85
_symmetry_space_group_name_H-M 'P 1'
_symmetry_Int_Tables_number 1
loop_
_symmetry_equiv_pos_as_xyz
'x,y,z'
loop_
_atom_site_label
_atom_site_fract_x
_atom_site_fract_y
_atom_site_fract_z
Rh1 0.000 0.000 0.000
Rh2 0.500 0.500 0.000
Li1 0.000 0.500 0.500
Ba1 0.500 0.000 0.500
```

Calculated values
The symmetry is Cmmm, No. 65.

--- z ---
First-principles (PBE) data for a relaxed structure of BaLiRh2, as listed in the Alexandria database.

Structure (CIF):
```
data_BaLiRh2
_chemical_formula_sum 'Ba1 Li1 Rh2'
_cell_length_a 4.829
_cell_length_b 4.829
_cell_length_c 4.829
_cell_angle_alpha 120.18
_cell_angle_beta 120.18
_cell_angle_gamma 89.69
_symmetry_space_group_name_H-M 'P 1'
_symmetry_Int_Tables_number 1
loop_
_symmetry_equiv_pos_as_xyz
'x,y,z'
loop_
_atom_site_label
_atom_site_fract_x
_atom_site_fract_y
_atom_site_fract_z
Rh1 0.250 0.750 0.500
Rh2 0.000 0.000 0.000
Ba1 0.500 0.500 0.000
Li1 0.750 0.250 0.500
```

Calculated values
The symmetry is I-4m2, No. 119.

Least stable structure: y

--- w ---
First-principles (PBE) data for a relaxed structure of BaLiRh2, as listed in the Alexandria database.

Structure (CIF):
```
data_BaLiRh2
_chemical_formula_sum 'Ba1 Li1 Rh2'
_cell_length_a 5.189
_cell_length_b 5.189
_cell_length_c 5.189
_cell_angle_alpha 131.10
_cell_angle_beta 131.10
_cell_angle_gamma 71.65
_symmetry_space_group_name_H-M 'P 1'
_symmetry_Int_Tables_number 1
loop_
_symmetry_equiv_pos_as_xyz
'x,y,z'
loop_
_atom_site_label
_atom_site_fract_x
_atom_site_fract_y
_atom_site_fract_z
Li1 0.750 0.250 0.500
Rh1 0.500 0.500 0.000
Rh2 0.000 0.000 0.000
Ba1 0.250 0.750 0.500
```

Calculated values
The symmetry is I4/mmm, No. 139.

--- x ---
First-principles (PBE) data for a relaxed structure of BaLiRh2, as listed in the Alexandria database.

Structure (CIF):
```
data_BaLiRh2
_chemical_formula_sum 'Ba1 Li1 Rh2'
_cell_length_a 9.911
_cell_length_b 9.911
_cell_length_c 9.911
_cell_angle_alpha 18.23
_cell_angle_beta 18.23
_cell_angle_gamma 18.23
_symmetry_space_group_name_H-M 'P 1'
_symmetry_Int_Tables_number 1
loop_
_symmetry_equiv_pos_as_xyz
'x,y,z'
loop_
_atom_site_label
_atom_site_fract_x
_atom_site_fract_y
_atom_site_fract_z
Li1 0.729 0.729 0.729
Rh1 0.997 0.997 0.997
Rh2 0.265 0.265 0.265
Ba1 0.508 0.508 0.508
```

Calculated values
The symmetry is R3m, No. 160.

--- y ---
First-principles (PBE) data for a relaxed structure of BaLiRh2, as listed in the Alexandria database.

Structure (CIF):
```
data_BaLiRh2
_chemical_formula_sum 'Ba1 Li1 Rh2'
_cell_length_a 4.367
_cell_length_b 3.113
_cell_length_c 6.086
_cell_angle_alpha 78.98
_cell_angle_beta 90.00
_cell_angle_gamma 90.00
_symmetry_space_group_name_H-M 'P 1'
_symmetry_Int_Tables_number 1
loop_
_symmetry_equiv_pos_as_xyz
'x,y,z'
loop_
_atom_site_label
_atom_site_fract_x
_atom_site_fract_y
_atom_site_fract_z
Ba1 0.000 0.506 0.502
Li1 0.500 0.892 0.821
Rh1 0.000 0.833 0.031
Rh2 0.500 0.269 0.146
```

Calculated values
The symmetry is Pm, No. 6.

Least stable structure: x

--- w ---
First-principles (PBE) data for a relaxed structure of BaLi2Rh2, as listed in the Alexandria database.

Structure (CIF):
```
data_BaLi2Rh2
_chemical_formula_sum 'Ba2 Li4 Rh4'
_cell_length_a 7.588
_cell_length_b 7.588
_cell_length_c 3.163
_cell_angle_alpha 90.00
_cell_angle_beta 90.00
_cell_angle_gamma 90.00
_symmetry_space_group_name_H-M 'P 1'
_symmetry_Int_Tables_number 1
loop_
_symmetry_equiv_pos_as_xyz
'x,y,z'
loop_
_atom_site_label
_atom_site_fract_x
_atom_site_fract_y
_atom_site_fract_z
Ba1 0.000 0.000 0.000
Ba2 0.500 0.500 0.000
Rh1 0.631 0.869 0.500
Rh2 0.869 0.369 0.500
Rh3 0.131 0.631 0.500
Rh4 0.369 0.131 0.500
Li1 0.860 0.640 0.000
Li2 0.640 0.140 0.000
Li3 0.360 0.860 0.000
Li4 0.140 0.360 0.000
```

Calculated values
The symmetry is P4/mbm, No. 127.

--- x ---
First-principles (PBE) data for a relaxed structure of BaLi2Rh2, as listed in the Alexandria database.

Structure (CIF):
```
data_BaLi2Rh2
_chemical_formula_sum 'Ba1 Li2 Rh2'
_cell_length_a 4.499
_cell_length_b 4.499
_cell_length_c 5.981
_cell_angle_alpha 67.90
_cell_angle_beta 67.90
_cell_angle_gamma 90.00
_symmetry_space_group_name_H-M 'P 1'
_symmetry_Int_Tables_number 1
loop_
_symmetry_equiv_pos_as_xyz
'x,y,z'
loop_
_atom_site_label
_atom_site_fract_x
_atom_site_fract_y
_atom_site_fract_z
Ba1 0.000 0.000 0.000
Li1 0.250 0.750 0.500
Li2 0.750 0.250 0.500
Rh1 0.376 0.376 0.248
Rh2 0.624 0.624 0.752
```

Calculated values
The symmetry is I4/mmm, No. 139.

Least stable structure: w

--- w ---
First-principles (PBE) data for a relaxed structure of BaLi3Rh, as listed in the Alexandria database.

Structure (CIF):
```
data_BaLi3Rh
_chemical_formula_sum 'Ba1 Li3 Rh1'
_cell_length_a 4.891
_cell_length_b 4.891
_cell_length_c 4.891
_cell_angle_alpha 90.00
_cell_angle_beta 90.00
_cell_angle_gamma 90.00
_symmetry_space_group_name_H-M 'P 1'
_symmetry_Int_Tables_number 1
loop_
_symmetry_equiv_pos_as_xyz
'x,y,z'
loop_
_atom_site_label
_atom_site_fract_x
_atom_site_fract_y
_atom_site_fract_z
Ba1 0.000 0.000 0.000
Li1 0.000 0.500 0.000
Li2 0.000 0.000 0.500
Li3 0.500 0.000 0.000
Rh1 0.500 0.500 0.500
```

Calculated values
The symmetry is Pm-3m, No. 221.

--- x ---
First-principles (PBE) data for a relaxed structure of BaLi3Rh, as listed in the Alexandria database.

Structure (CIF):
```
data_BaLi3Rh
_chemical_formula_sum 'Ba2 Li6 Rh2'
_cell_length_a 5.866
_cell_length_b 5.921
_cell_length_c 7.260
_cell_angle_alpha 90.00
_cell_angle_beta 111.92
_cell_angle_gamma 90.00
_symmetry_space_group_name_H-M 'P 1'
_symmetry_Int_Tables_number 1
loop_
_symmetry_equiv_pos_as_xyz
'x,y,z'
loop_
_atom_site_label
_atom_site_fract_x
_atom_site_fract_y
_atom_site_fract_z
Rh1 0.098 0.948 0.749
Rh2 0.936 0.448 0.812
Ba1 0.703 0.948 0.907
Ba2 0.331 0.448 0.653
Li1 0.277 0.204 0.085
Li2 0.873 0.448 0.149
Li3 0.757 0.191 0.475
Li4 0.277 0.691 0.085
Li5 0.757 0.704 0.475
Li6 0.161 0.948 0.412
```

Calculated values
The symmetry is P2_1/m, No. 11.

--- y ---
First-principles (PBE) data for a relaxed structure of BaLi3Rh, as listed in the Alexandria database.

Structure (CIF):
```
data_BaLi3Rh
_chemical_formula_sum 'Ba1 Li3 Rh1'
_cell_length_a 4.940
_cell_length_b 4.940
_cell_length_c 4.940
_cell_angle_alpha 90.00
_cell_angle_beta 90.00
_cell_angle_gamma 90.00
_symmetry_space_group_name_H-M 'P 1'
_symmetry_Int_Tables_number 1
loop_
_symmetry_equiv_pos_as_xyz
'x,y,z'
loop_
_atom_site_label
_atom_site_fract_x
_atom_site_fract_y
_atom_site_fract_z
Li1 0.500 0.000 0.000
Li2 0.000 0.000 0.500
Li3 0.000 0.500 0.000
Rh1 0.000 0.000 0.000
Ba1 0.500 0.500 0.500
```

Calculated values
The symmetry is Pm-3m, No. 221.

Least stable structure: w

--- w ---
First-principles (PBE) data for a relaxed structure of BaLi4Rh, as listed in the Alexandria database.

Structure (CIF):
```
data_BaLi4Rh
_chemical_formula_sum 'Ba2 Li8 Rh2'
_cell_length_a 7.969
_cell_length_b 5.416
_cell_length_c 7.463
_cell_angle_alpha 80.45
_cell_angle_beta 122.28
_cell_angle_gamma 90.01
_symmetry_space_group_name_H-M 'P 1'
_symmetry_Int_Tables_number 1
loop_
_symmetry_equiv_pos_as_xyz
'x,y,z'
loop_
_atom_site_label
_atom_site_fract_x
_atom_site_fract_y
_atom_site_fract_z
Rh1 0.500 0.000 0.500
Rh2 0.000 0.500 0.500
Ba1 0.801 0.750 0.000
Ba2 0.199 0.250 0.000
Li1 0.114 0.112 0.410
Li2 0.555 0.755 0.257
Li3 0.705 0.388 0.590
Li4 0.886 0.888 0.590
Li5 0.445 0.245 0.743
Li6 0.702 0.255 0.257
Li7 0.295 0.612 0.410
Li8 0.298 0.745 0.743
```

Calculated values
The symmetry is C2/c, No. 15.

--- x ---
First-principles (PBE) data for a relaxed structure of BaLi4Rh, as listed in the Alexandria database.

Structure (CIF):
```
data_BaLi4Rh
_chemical_formula_sum 'Ba1 Li4 Rh1'
_cell_length_a 5.581
_cell_length_b 5.581
_cell_length_c 5.581
_cell_angle_alpha 60.00
_cell_angle_beta 60.00
_cell_angle_gamma 60.00
_symmetry_space_group_name_H-M 'P 1'
_symmetry_Int_Tables_number 1
loop_
_symmetry_equiv_pos_as_xyz
'x,y,z'
loop_
_atom_site_label
_atom_site_fract_x
_atom_site_fract_y
_atom_site_fract_z
Li1 0.862 0.379 0.379
Li2 0.379 0.862 0.379
Li3 0.379 0.379 0.862
Li4 0.379 0.379 0.379
Ba1 0.000 0.000 0.000
Rh1 0.750 0.750 0.750
```

Calculated values
The symmetry is F-43m, No. 216.

Least stable structure: x

--- w ---
First-principles (PBE) data for a relaxed structure of BaSrLi2Rh, as listed in the Alexandria database.

Structure (CIF):
```
data_BaSrLi2Rh
_chemical_formula_sum 'Ba1 Sr1 Li2 Rh1'
_cell_length_a 5.344
_cell_length_b 5.344
_cell_length_c 5.541
_cell_angle_alpha 90.00
_cell_angle_beta 90.00
_cell_angle_gamma 90.00
_symmetry_space_group_name_H-M 'P 1'
_symmetry_Int_Tables_number 1
loop_
_symmetry_equiv_pos_as_xyz
'x,y,z'
loop_
_atom_site_label
_atom_site_fract_x
_atom_site_fract_y
_atom_site_fract_z
Li1 0.500 0.000 0.000
Li2 0.000 0.500 0.000
Ba1 0.000 0.000 0.500
Rh1 0.000 0.000 0.000
Sr1 0.500 0.500 0.500
```

Calculated values
The symmetry is P4/mmm, No. 123.

--- x ---
First-principles (PBE) data for a relaxed structure of BaSrLi2Rh, as listed in the Alexandria database.

Structure (CIF):
```
data_BaSrLi2Rh
_chemical_formula_sum 'Ba1 Sr1 Li2 Rh1'
_cell_length_a 5.315
_cell_length_b 5.315
_cell_length_c 5.483
_cell_angle_alpha 90.00
_cell_angle_beta 90.00
_cell_angle_gamma 90.00
_symmetry_space_group_name_H-M 'P 1'
_symmetry_Int_Tables_number 1
loop_
_symmetry_equiv_pos_as_xyz
'x,y,z'
loop_
_atom_site_label
_atom_site_fract_x
_atom_site_fract_y
_atom_site_fract_z
Ba1 0.500 0.500 0.500
Li1 0.500 0.000 0.000
Li2 0.000 0.500 0.000
Sr1 0.000 0.000 0.500
Rh1 0.000 0.000 0.000
```

Calculated values
The symmetry is P4/mmm, No. 123.

Least stable structure: w

--- w ---
First-principles (PBE) data for a relaxed structure of Ba2LiTlRh, as listed in the Alexandria database.

Structure (CIF):
```
data_Ba2LiTlRh
_chemical_formula_sum 'Ba2 Li1 Tl1 Rh1'
_cell_length_a 5.987
_cell_length_b 5.987
_cell_length_c 4.901
_cell_angle_alpha 90.00
_cell_angle_beta 90.00
_cell_angle_gamma 90.00
_symmetry_space_group_name_H-M 'P 1'
_symmetry_Int_Tables_number 1
loop_
_symmetry_equiv_pos_as_xyz
'x,y,z'
loop_
_atom_site_label
_atom_site_fract_x
_atom_site_fract_y
_atom_site_fract_z
Rh1 0.000 0.000 0.000
Li1 0.000 0.000 0.500
Ba1 0.500 0.000 0.000
Ba2 0.000 0.500 0.000
Tl1 0.500 0.500 0.500
```

Calculated values
The symmetry is P4/mmm, No. 123.

--- x ---
First-principles (PBE) data for a relaxed structure of Ba2LiTlRh, as listed in the Alexandria database.

Structure (CIF):
```
data_Ba2LiTlRh
_chemical_formula_sum 'Ba2 Li1 Tl1 Rh1'
_cell_length_a 6.039
_cell_length_b 6.039
_cell_length_c 5.360
_cell_angle_alpha 90.00
_cell_angle_beta 90.00
_cell_angle_gamma 90.00
_symmetry_space_group_name_H-M 'P 1'
_symmetry_Int_Tables_number 1
loop_
_symmetry_equiv_pos_as_xyz
'x,y,z'
loop_
_atom_site_label
_atom_site_fract_x
_atom_site_fract_y
_atom_site_fract_z
Rh1 0.000 0.000 0.000
Ba1 0.500 0.000 0.000
Ba2 0.000 0.500 0.000
Li1 0.500 0.500 0.500
Tl1 0.000 0.000 0.500
```

Calculated values
The symmetry is P4/mmm, No. 123.

Least stable structure: w